Here is a relaxed Cd3MoS crystal from the Alexandria database. Energies are from PBE-GGA.

Lattice parameters (Å, degrees): 5.4193 5.4193 5.4193 90.00 90.00 90.00
With the nearest neighbours (Å) after each atom.
Sites, in units of the cell vectors:
Cd (0.0000, 0.0000, 0.5000)  2 Mo 2.71
Cd (0.0000, 0.5000, 0.0000)  2 Mo 2.71
Cd (0.5000, 0.0000, 0.0000)  2 Mo 2.71
Mo (0.0000, 0.0000, 0.0000)  6 Cd 2.71
S (0.5000, 0.5000, 0.5000)  12 Cd 3.83

Energy relative to the elements, uncorrected   581.8 kJ/mol of formula units
Crystal system   cubic
Symmetry   No. 221
Energy relative to the lowest polymorph listed for this composition   14.48 kJ/mol of atoms